(1)
Entry from Alexandria: crystalline PrTlHg at its relaxed geometry (PBE-GGA). Values from VASP.

Cell and atoms, written as Quantum ESPRESSO input:
```
&SYSTEM
  ibrav = 0, nat = 6, ntyp = 3
/
ATOMIC_SPECIES
Hg 200.59 Hg.upf
Tl 204.38 Tl.upf
Pr 140.91 Pr.upf
CELL_PARAMETERS angstrom
-1.172 3.562 1.194
-4.627 -0.637 -2.642
-2.742 -5.098 6.033
ATOMIC_POSITIONS crystal
Hg 0.435 0.750 0.871
Hg 0.565 0.250 0.129
Tl 0.774 0.750 0.547
Tl 0.226 0.250 0.453
Pr 0.098 0.750 0.196
Pr 0.902 0.250 0.804
```

uncorrected energy: -2.80 eV per atom
SG: No. 63
M_tot: 0.00 μB/f.u.
calculated formation energy: -0.31 eV per atom

---

(2)
Entry from Alexandria: crystalline PrTl2Hg5 at its relaxed geometry (PBE-GGA). Values from VASP.

Cell and atoms, written as Quantum ESPRESSO input:
```
&SYSTEM
  ibrav = 0, nat = 8, ntyp = 3
/
ATOMIC_SPECIES
Hg 200.59 Hg.upf
Tl 204.38 Tl.upf
Pr 140.91 Pr.upf
CELL_PARAMETERS angstrom
4.554 0.000 -1.707
-0.640 4.508 -1.707
1.020 1.176 9.647
ATOMIC_POSITIONS crystal
Hg 0.623 0.123 0.246
Hg 0.500 0.500 0.000
Hg 0.877 0.377 0.754
Tl 0.753 0.753 0.507
Hg 0.123 0.623 0.246
Hg 0.377 0.877 0.754
Tl 0.247 0.247 0.493
Pr 0.000 0.000 0.000
```

uncorrected energy: -1.58 eV per atom
SG: No. 139
M_tot: 0.00 μB/f.u.
ΔE to the lowest computed polymorph: 0 meV per atom
calculated formation energy: -0.21 eV per atom

---

(3)
Entry from Alexandria: crystalline PrTlHg at its relaxed geometry (PBE-GGA). Values from VASP.

Cell and atoms, written as Quantum ESPRESSO input:
```
&SYSTEM
  ibrav = 0, nat = 3, ntyp = 3
/
ATOMIC_SPECIES
Tl 204.38 Tl.upf
Hg 200.59 Hg.upf
Pr 140.91 Pr.upf
CELL_PARAMETERS angstrom
3.765 0.000 0.000
0.000 3.765 0.000
-1.883 -1.883 5.980
ATOMIC_POSITIONS crystal
Tl 0.625 0.625 0.250
Hg 0.281 0.281 0.562
Pr 0.944 0.944 0.887
```

uncorrected energy: -2.77 eV per atom
SG: No. 107
M_tot: 0.00 μB/f.u.
calculated formation energy: -0.29 eV per atom

---

(4)
Entry from Alexandria: crystalline Pr2TlHg4 at its relaxed geometry (PBE-GGA). Values from VASP.

Cell and atoms, written as Quantum ESPRESSO input:
```
&SYSTEM
  ibrav = 0, nat = 7, ntyp = 3
/
ATOMIC_SPECIES
Tl 204.38 Tl.upf
Pr 140.91 Pr.upf
Hg 200.59 Hg.upf
CELL_PARAMETERS angstrom
5.603 0.000 0.000
0.000 5.603 0.000
-2.802 -2.802 7.914
ATOMIC_POSITIONS crystal
Tl 0.000 0.000 0.000
Pr 0.388 0.388 0.775
Pr 0.612 0.612 0.225
Hg 0.193 0.193 0.385
Hg 0.807 0.807 0.615
Hg 0.500 0.000 0.000
Hg 0.000 0.500 0.000
```

uncorrected energy: -1.81 eV per atom
SG: No. 139
M_tot: 0.00 μB/f.u.
ΔE to the lowest computed polymorph: 380 meV per atom
calculated formation energy: 0.06 eV per atom

---

(5)
Entry from Alexandria: crystalline Pr6Tl5Hg at its relaxed geometry (PBE-GGA). Values from VASP.

Cell and atoms, written as Quantum ESPRESSO input:
```
&SYSTEM
  ibrav = 0, nat = 12, ntyp = 3
/
ATOMIC_SPECIES
Pr 140.91 Pr.upf
Tl 204.38 Tl.upf
Hg 200.59 Hg.upf
CELL_PARAMETERS angstrom
-1.262 3.475 4.162
-6.252 2.491 -3.976
-5.273 -4.196 5.663
ATOMIC_POSITIONS crystal
Pr 0.166 0.248 0.669
Tl 0.667 0.500 0.666
Tl 0.333 0.500 0.334
Tl 0.665 0.000 0.670
Hg 0.000 0.000 0.000
Tl 0.000 0.500 0.000
Pr 0.834 0.752 0.331
Pr 0.500 0.247 0.000
Tl 0.335 0.000 0.330
Pr 0.166 0.752 0.669
Pr 0.834 0.248 0.331
Pr 0.500 0.753 0.000
```

uncorrected energy: -3.81 eV per atom
SG: No. 10
M_tot: 0.00 μB/f.u.
ΔE to the lowest computed polymorph: 0 meV per atom
calculated formation energy: -0.41 eV per atom

---

(6)
Entry from Alexandria: crystalline Pr2TlHg2 at its relaxed geometry (PBE-GGA). Values from VASP.

Cell and atoms, written as Quantum ESPRESSO input:
```
&SYSTEM
  ibrav = 0, nat = 5, ntyp = 3
/
ATOMIC_SPECIES
Hg 200.59 Hg.upf
Pr 140.91 Pr.upf
Tl 204.38 Tl.upf
CELL_PARAMETERS angstrom
-4.644 -3.208 -4.452
-0.228 -6.245 -3.553
-3.652 -5.175 0.458
ATOMIC_POSITIONS crystal
Hg 0.618 0.618 0.482
Pr 0.714 0.714 0.822
Tl 0.000 0.000 0.000
Hg 0.382 0.382 0.518
Pr 0.286 0.286 0.178
```

uncorrected energy: -2.84 eV per atom
SG: No. 12
M_tot: 0.00 μB/f.u.
ΔE to the lowest computed polymorph: 0 meV per atom
calculated formation energy: -0.33 eV per atom

---

(7)
Entry from Alexandria: crystalline Pr2Tl3Hg2 at its relaxed geometry (PBE-GGA). Values from VASP.

Cell and atoms, written as Quantum ESPRESSO input:
```
&SYSTEM
  ibrav = 0, nat = 7, ntyp = 3
/
ATOMIC_SPECIES
Hg 200.59 Hg.upf
Tl 204.38 Tl.upf
Pr 140.91 Pr.upf
CELL_PARAMETERS angstrom
-3.115 -3.122 -2.396
5.084 1.408 -3.187
3.401 -5.485 2.725
ATOMIC_POSITIONS crystal
Hg 0.116 0.233 0.581
Tl 0.696 0.391 0.807
Pr 0.390 0.780 0.726
Pr 0.610 0.220 0.274
Tl 0.000 0.000 0.000
Hg 0.884 0.767 0.419
Tl 0.304 0.609 0.193
```

uncorrected energy: -2.76 eV per atom
SG: No. 12
M_tot: 0.00 μB/f.u.
calculated formation energy: -0.30 eV per atom

---

(8)
Entry from Alexandria: crystalline Pr5TlHg3 at its relaxed geometry (PBE-GGA). Values from VASP.

Cell and atoms, written as Quantum ESPRESSO input:
```
&SYSTEM
  ibrav = 0, nat = 18, ntyp = 3
/
ATOMIC_SPECIES
Hg 200.59 Hg.upf
Pr 140.91 Pr.upf
Tl 204.38 Tl.upf
CELL_PARAMETERS angstrom
-3.237 2.679 5.451
3.316 -7.109 5.463
5.058 8.053 -0.954
ATOMIC_POSITIONS crystal
Hg 0.250 0.631 0.631
Pr 0.750 0.704 0.704
Pr 0.000 0.667 0.333
Pr 0.250 0.296 0.296
Hg 0.750 0.369 0.369
Hg 0.750 0.000 0.631
Hg 0.250 0.000 0.369
Pr 0.250 0.704 0.000
Hg 0.250 0.369 0.000
Pr 0.250 0.000 0.704
Pr 0.750 0.296 0.000
Pr 0.500 0.333 0.667
Hg 0.750 0.631 0.000
Pr 0.500 0.667 0.333
Tl 0.500 0.000 0.000
Pr 0.000 0.333 0.667
Pr 0.750 0.000 0.296
Tl 0.000 0.000 0.000
```

uncorrected energy: -3.39 eV per atom
SG: No. 193
M_tot: 0.00 μB/f.u.
calculated formation energy: -0.37 eV per atom

---

(9)
Entry from Alexandria: crystalline PrTlHg at its relaxed geometry (PBE-GGA). Values from VASP.

Cell and atoms, written as Quantum ESPRESSO input:
```
&SYSTEM
  ibrav = 0, nat = 3, ntyp = 3
/
ATOMIC_SPECIES
Tl 204.38 Tl.upf
Hg 200.59 Hg.upf
Pr 140.91 Pr.upf
CELL_PARAMETERS angstrom
3.859 0.000 0.000
0.000 5.031 0.000
0.000 -2.515 4.357
ATOMIC_POSITIONS crystal
Tl 0.091 0.000 0.000
Hg 0.249 0.333 0.667
Pr 0.661 0.667 0.333
```

uncorrected energy: -2.84 eV per atom
SG: No. 156
M_tot: 0.00 μB/f.u.
calculated formation energy: -0.36 eV per atom

---

(10)
Entry from Alexandria: crystalline Pr5Tl2Hg at its relaxed geometry (PBE-GGA). Values from VASP.

Cell and atoms, written as Quantum ESPRESSO input:
```
&SYSTEM
  ibrav = 0, nat = 16, ntyp = 3
/
ATOMIC_SPECIES
Tl 204.38 Tl.upf
Pr 140.91 Pr.upf
Hg 200.59 Hg.upf
CELL_PARAMETERS angstrom
5.288 0.000 0.000
0.000 6.982 0.000
0.000 0.000 13.725
ATOMIC_POSITIONS crystal
Tl 0.500 0.654 0.146
Pr 0.000 0.396 0.275
Pr 0.000 0.000 0.500
Pr 0.500 0.813 0.897
Pr 0.500 0.187 0.103
Pr 0.000 0.604 0.725
Hg 0.000 0.000 0.000
Tl 0.500 0.154 0.354
Hg 0.000 0.500 0.500
Pr 0.000 0.500 0.000
Pr 0.000 0.104 0.775
Pr 0.500 0.313 0.603
Pr 0.500 0.687 0.397
Tl 0.500 0.346 0.854
Tl 0.500 0.846 0.646
Pr 0.000 0.896 0.225
```

uncorrected energy: -3.93 eV per atom
SG: No. 55
M_tot: 0.00 μB/f.u.
ΔE to the lowest computed polymorph: 0 meV per atom
calculated formation energy: -0.32 eV per atom

---

(11)
Entry from Alexandria: crystalline PrTmTlHg at its relaxed geometry (PBE-GGA). Values from VASP.

Cell and atoms, written as Quantum ESPRESSO input:
```
&SYSTEM
  ibrav = 0, nat = 4, ntyp = 4
/
ATOMIC_SPECIES
Pr 140.91 Pr.upf
Hg 200.59 Hg.upf
Tm 168.93 Tm.upf
Tl 204.38 Tl.upf
CELL_PARAMETERS angstrom
3.785 0.000 0.000
0.000 3.785 0.000
0.000 0.000 7.723
ATOMIC_POSITIONS crystal
Pr 0.500 0.500 0.113
Hg 0.000 0.000 0.383
Tm 0.500 0.500 0.594
Tl 0.000 0.000 0.838
```

uncorrected energy: -3.40 eV per atom
SG: No. 99
M_tot: 0.64 μB/f.u.
ΔE to the lowest computed polymorph: 0 meV per atom
calculated formation energy: -0.42 eV per atom

---

(12)
Entry from Alexandria: crystalline PrTmTlHg at its relaxed geometry (PBE-GGA). Values from VASP.

Cell and atoms, written as Quantum ESPRESSO input:
```
&SYSTEM
  ibrav = 0, nat = 4, ntyp = 4
/
ATOMIC_SPECIES
Pr 140.91 Pr.upf
Tm 168.93 Tm.upf
Tl 204.38 Tl.upf
Hg 200.59 Hg.upf
CELL_PARAMETERS angstrom
5.400 0.000 0.000
2.700 4.676 0.000
2.700 1.559 4.409
ATOMIC_POSITIONS crystal
Pr 0.750 0.750 0.750
Tm 0.250 0.250 0.250
Tl 0.000 0.000 0.000
Hg 0.500 0.500 0.500
```

uncorrected energy: -3.38 eV per atom
SG: No. 216
M_tot: 0.54 μB/f.u.
ΔE to the lowest computed polymorph: 21 meV per atom
calculated formation energy: -0.40 eV per atom

---

Theoretical density? In order: 10.56 11.92 10.69 8.61 9.46 9.63 10.88 9.21 10.72 8.61 10.73 10.66 g/cm3.